A geometry-optimized CsSi2HO5 structure. Source: the Alexandria database, functional GGA-PBEsol.

Calculated values
- Electronic total energy: -7.10 eV per atom
- Space-group type: No. 19

a b c (Å): 5.041 8.709 12.919
angles (deg): 90.00 90.00 90.00
Positions (direct):
Cs 0.585 0.250 0.810
Cs 0.085 0.250 0.190
Cs 0.415 0.750 0.690
Cs 0.915 0.750 0.310
Si 0.051 0.565 0.932
Si 0.551 0.935 0.068
Si 0.949 0.065 0.568
Si 0.449 0.435 0.432
Si 0.949 0.435 0.567
Si 0.449 0.065 0.433
Si 0.051 0.935 0.933
Si 0.551 0.565 0.067
H 0.000 0.501 0.749
H 0.500 0.999 0.251
H 0.000 0.001 0.751
H 0.500 0.499 0.249
O 0.932 0.250 0.588
O 0.432 0.250 0.412
O 0.068 0.750 0.912
O 0.568 0.750 0.088
O 0.752 0.520 0.972
O 0.252 0.980 0.028
O 0.248 0.020 0.528
O 0.748 0.480 0.472
O 0.248 0.480 0.527
O 0.748 0.020 0.473
O 0.752 0.980 0.973
O 0.252 0.520 0.027
O 0.122 0.474 0.828
O 0.622 0.026 0.172
O 0.878 0.974 0.672
O 0.378 0.526 0.328
O 0.878 0.527 0.671
O 0.378 0.973 0.329
O 0.122 0.027 0.829
O 0.622 0.473 0.171


A geometry-optimized Sr2LiCl structure. Source: the Alexandria database, functional GGA-PBEsol.

Calculated values
- Formation energy from raw total energies: -0.78 eV per atom
- Energy above the lowest structure with this stoichiometry: 0 meV per atom
- Space-group type: No. 10

a b c (Å): 3.924 4.263 8.789
angles (deg): 90.21 90.00 90.00
Positions (direct):
Cl 0.500 0.000 0.500
Li 0.500 0.500 0.000
Sr 0.000 0.998 0.760
Sr 0.000 0.002 0.240


A geometry-optimized BeTl3Ge structure. Source: the Alexandria database, functional GGA-PBEsol.

Calculated values
- Formation energy from the elements: 0.492 eV/atom
- Space-group type: No. 221

a b c (Å): 4.929 4.929 4.929
angles (deg): 90.00 90.00 90.00
Positions (direct):
Be 0.000 0.000 0.000
Tl 0.000 0.500 0.000
Tl 0.000 0.000 0.500
Tl 0.500 0.000 0.000
Ge 0.500 0.500 0.500


no.,D(E_F) (states/eV per cell)
1,0.00
2,2.93
3,2.81